Compound: Ta6Mn5Fe
Source: the Alexandria database
Functional: PBE
Structure: optimized geometry

Its density of states at the Fermi level is 4.52 states/eV/cell. The value obtained for the total energy is -10.679 eV/atom. The value obtained for the formation energy is -226.5 meV/atom.

Lattice parameters (Å, degrees): 4.3313 6.1255 7.4850 114.15 106.82 90.00
Last column: nearest neighbours and their distance in Å.
Fractional coordinates of all 12 atoms:
Mn: 0.6659 0.1659 0.3318  8 Ta 2.64-2.66
Mn: 0.3334 0.3334 0.6668  8 Ta 2.64-2.65
Ta: 0.8329 0.5822 0.6658  7 Mn 2.65-2.66, 1 Fe 2.65
Mn: 0.3341 0.8341 0.6682  8 Ta 2.64-2.66
Mn: 0.0000 0.5000 0.0000  8 Ta 2.65
Ta: 0.1671 0.4178 0.3342  7 Mn 2.65-2.66, 1 Fe 2.65
Ta: 0.1671 0.9164 0.3342  7 Mn 2.65-2.66, 1 Fe 2.65
Ta: 0.8329 0.0836 0.6658  7 Mn 2.65-2.66, 1 Fe 2.65
Ta: 0.5001 0.7486 0.0000  6 Mn 2.64-2.65, 2 Fe 2.66
Ta: 0.4999 0.2514 0.0000  6 Mn 2.64-2.65, 2 Fe 2.66
Fe: 0.0000 0.0000 0.0000  8 Ta 2.65-2.66
Mn: 0.6666 0.6666 0.3332  8 Ta 2.64-2.65